(1)
# SrHfPt (PBE-GGA, optimized geometry)
# Magnetization, μB/cell: 0.0
# DOS(E_F), states/eV/cell: 5.88
# Energy of formation from the pure elements, eV per formula unit: -2.3
data_SrHfPt
_space_group_name_H-M_alt 'P 4/n m m'
_space_group_IT_number 129
_cell_length_a 4.707
_cell_length_b 4.707
_cell_length_c 7.419
_cell_angle_alpha 90.00
_cell_angle_beta 90.00
_cell_angle_gamma 90.00
loop_
_space_group_symop_operation_xyz
'x,y,z'
'-x,-y,-z'
'-y+1/2,x,z'
'y+1/2,-x,-z'
'-x+1/2,-y+1/2,z'
'x+1/2,y+1/2,-z'
'y,-x+1/2,z'
'-y,x+1/2,-z'
'x+1/2,-y,-z'
'-x+1/2,y,z'
'-y,-x,-z'
'y,x,z'
'-x,y+1/2,-z'
'x,-y+1/2,z'
'y+1/2,x+1/2,-z'
'-y+1/2,-x+1/2,z'
loop_
_atom_site_label
_atom_site_type_symbol
_atom_site_fract_x
_atom_site_fract_y
_atom_site_fract_z
_atom_site_occupancy
Sr1 Sr 0.250 0.250 0.136 1
Hf1 Hf 0.250 0.750 0.500 1
Pt1 Pt 0.250 0.250 0.676 1

---

(2)
# La2ZrHg (PBE-GGA, optimized geometry)
# Magnetization, μB/cell: 0.0
# DOS(E_F), states/eV/cell: 6.29
# Energy of formation from the pure elements, eV per formula unit: -0.1
data_La2ZrHg
_space_group_name_H-M_alt 'P 4/m m m'
_space_group_IT_number 123
_space_group_name_Hall '-P 4 2'
_cell_length_a 4.780
_cell_length_b 4.780
_cell_length_c 4.901
_cell_angle_alpha 90.00
_cell_angle_beta 90.00
_cell_angle_gamma 90.00
loop_
_atom_site_label
_atom_site_type_symbol
_atom_site_fract_x
_atom_site_fract_y
_atom_site_fract_z
_atom_site_occupancy
La1 La 0.000 0.500 0.000 1
Zr1 Zr 0.000 0.000 0.500 1
Hg1 Hg 0.500 0.500 0.500 1

---

(3)
# Pm2PrHo2Tm (PBE-GGA, optimized geometry)
# Magnetization, μB/cell: 0.0
# DOS(E_F), states/eV/cell: 18.69
# Energy of formation from the pure elements, eV per formula unit: 0.4
data_Pm2PrHo2Tm
_space_group_name_H-M_alt 'P m m a'
_space_group_IT_number 51
_cell_length_a 7.040
_cell_length_b 5.671
_cell_length_c 9.818
_cell_angle_alpha 90.00
_cell_angle_beta 90.00
_cell_angle_gamma 90.00
loop_
_space_group_symop_operation_xyz
'x,y,z'
'-x,-y,-z'
'-x+1/2,-y,z'
'x+1/2,y,-z'
'x+1/2,-y,-z'
'-x+1/2,y,z'
'-x,y,-z'
'x,-y,z'
loop_
_atom_site_label
_atom_site_type_symbol
_atom_site_fract_x
_atom_site_fract_y
_atom_site_fract_z
_atom_site_occupancy
Pm1 Pm 0.000 0.000 0.000 1
Pm2 Pm 0.250 0.500 0.178 1
Pr1 Pr 0.250 0.000 0.655 1
Ho1 Ho 0.250 0.000 0.328 1
Ho2 Ho 0.250 0.500 0.837 1
Tm1 Tm 0.000 0.500 0.500 1

---

Copy entry 3 word for word.
# Pm2PrHo2Tm (PBE-GGA, optimized geometry)
# Magnetization, μB/cell: 0.0
# DOS(E_F), states/eV/cell: 18.69
# Energy of formation from the pure elements, eV per formula unit: 0.4
data_Pm2PrHo2Tm
_space_group_name_H-M_alt 'P m m a'
_space_group_IT_number 51
_cell_length_a 7.040
_cell_length_b 5.671
_cell_length_c 9.818
_cell_angle_alpha 90.00
_cell_angle_beta 90.00
_cell_angle_gamma 90.00
loop_
_space_group_symop_operation_xyz
'x,y,z'
'-x,-y,-z'
'-x+1/2,-y,z'
'x+1/2,y,-z'
'x+1/2,-y,-z'
'-x+1/2,y,z'
'-x,y,-z'
'x,-y,z'
loop_
_atom_site_label
_atom_site_type_symbol
_atom_site_fract_x
_atom_site_fract_y
_atom_site_fract_z
_atom_site_occupancy
Pm1 Pm 0.000 0.000 0.000 1
Pm2 Pm 0.250 0.500 0.178 1
Pr1 Pr 0.250 0.000 0.655 1
Ho1 Ho 0.250 0.000 0.328 1
Ho2 Ho 0.250 0.500 0.837 1
Tm1 Tm 0.000 0.500 0.500 1